[1]
{
  "formula": "MgAuSeN2",
  "functional": "GGA-PBEsol",
  "state": "optimized geometry",
  "n_ef_per_ev_atom": 0.571,
  "spacegroup": "P4/mmm, No. 123",
  "formation_energy_uncorrected_mev_per_atom": 1349,
  "lattice": [[3.936, 0.000, 0.000], [0.000, 3.936, 0.000], [0.000, 0.000, 5.514]],
  "species": ["Mg", "Au", "Se", "N", "N"],
  "frac_coords": [[0.000, 0.000, 0.000], [0.500, 0.500, 0.500], [0.000, 0.000, 0.500], [0.000, 0.500, 0.000], [0.500, 0.000, 0.000]]
}

***

[2]
{
  "formula": "Mg2BeNi",
  "functional": "GGA-PBEsol",
  "state": "optimized geometry",
  "e_form_ev_per_fu": 0.8,
  "n_ef_per_ev_atom": 0.426,
  "spacegroup": "R3m, No. 160",
  "lattice": [[1.440, 0.831, 8.329], [-1.440, 0.831, 8.329], [0.000, -1.663, 8.329]],
  "species": ["Mg", "Mg", "Be", "Ni"],
  "frac_coords": [[0.000, 0.000, 0.000], [0.223, 0.223, 0.223], [0.753, 0.753, 0.753], [0.476, 0.476, 0.476]]
}

***

[3]
{
  "formula": "ScTeOs2Pb",
  "functional": "GGA-PBEsol",
  "state": "optimized geometry",
  "n_ef_per_ev_atom": 0.654,
  "spacegroup": "P4/mmm, No. 123",
  "formation_energy_uncorrected_mev_per_atom": 1648,
  "lattice": [[4.768, 0.000, 0.000], [0.000, 4.768, 0.000], [0.000, 0.000, 5.564]],
  "species": ["Sc", "Te", "Os", "Os", "Pb"],
  "frac_coords": [[0.000, 0.000, 0.000], [0.500, 0.500, 0.500], [0.000, 0.500, 0.500], [0.500, 0.000, 0.500], [0.500, 0.500, 0.000]]
}

***

[4]
{
  "formula": "MnAuSCl2",
  "functional": "GGA-PBEsol",
  "state": "optimized geometry",
  "n_ef_per_ev_atom": 0.346,
  "spacegroup": "P4/mmm, No. 123",
  "formation_energy_uncorrected_mev_per_atom": 371,
  "lattice": [[4.819, 0.000, 0.000], [0.000, 4.819, 0.000], [0.000, 0.000, 4.912]],
  "species": ["Mn", "Au", "S", "Cl", "Cl"],
  "frac_coords": [[0.000, 0.000, 0.000], [0.500, 0.500, 0.500], [0.500, 0.500, 0.000], [0.000, 0.500, 0.500], [0.500, 0.000, 0.500]]
}

***

[5]
{
  "formula": "Cs2RbHgBr",
  "functional": "GGA-PBEsol",
  "state": "optimized geometry",
  "n_ef_per_ev_atom": 0.496,
  "spacegroup": "P4/mmm, No. 123",
  "formation_energy_uncorrected_mev_per_atom": -385,
  "lattice": [[7.048, 0.000, 0.000], [0.000, 7.048, 0.000], [0.000, 0.000, 6.594]],
  "species": ["Cs", "Cs", "Rb", "Hg", "Br"],
  "frac_coords": [[0.000, 0.500, 0.000], [0.500, 0.000, 0.000], [0.000, 0.000, 0.500], [0.500, 0.500, 0.000], [0.500, 0.500, 0.500]]
}

***

[6]
{
  "formula": "ZnFeNi2",
  "functional": "GGA-PBEsol",
  "state": "optimized geometry",
  "e_form_ev_per_fu": -0.2,
  "n_ef_per_ev_atom": 0.928,
  "spacegroup": "P4/mmm, No. 123",
  "lattice": [[3.635, 0.000, 0.000], [0.000, 3.635, 0.000], [0.000, 0.000, 3.400]],
  "species": ["Zn", "Fe", "Ni", "Ni"],
  "frac_coords": [[0.000, 0.000, 0.000], [0.500, 0.500, 0.000], [0.000, 0.500, 0.500], [0.500, 0.000, 0.500]]
}

***

[7]
{
  "formula": "CdAsW2",
  "functional": "GGA-PBEsol",
  "state": "optimized geometry",
  "e_form_ev_per_fu": 2.3,
  "n_ef_per_ev_atom": 0.615,
  "spacegroup": "Immm, No. 71",
  "polymorph_energy_mev_per_atom": 37,
  "lattice": [[-1.556, 2.352, 4.515], [1.556, -2.352, 4.515], [1.556, 2.352, -4.515]],
  "species": ["Cd", "As", "W", "W"],
  "frac_coords": [[0.000, 0.000, 0.000], [0.500, 0.500, 0.000], [0.279, 0.779, 0.500], [0.721, 0.221, 0.500]]
}

***

[8]
{
  "formula": "Ca4Pt",
  "functional": "GGA-PBEsol",
  "state": "optimized geometry",
  "e_form_ev_per_fu": -1.9,
  "n_ef_per_ev_atom": 0.905,
  "spacegroup": "I4/m, No. 87",
  "lattice": [[-4.671, 4.671, 1.808], [4.671, -4.671, 1.808], [4.671, 4.671, -1.808]],
  "species": ["Ca", "Ca", "Ca", "Ca", "Pt"],
  "frac_coords": [[0.062, 0.247, 0.309], [0.247, 0.938, 0.185], [0.753, 0.062, 0.815], [0.938, 0.753, 0.691], [0.500, 0.500, 0.000]]
}

***

[9]
{
  "formula": "SbRu3Br",
  "functional": "GGA-PBEsol",
  "state": "optimized geometry",
  "n_ef_per_ev_atom": 1.424,
  "spacegroup": "Pm-3m, No. 221",
  "formation_energy_uncorrected_mev_per_atom": 1454,
  "lattice": [[4.538, 0.000, 0.000], [0.000, 4.538, 0.000], [0.000, 0.000, 4.538]],
  "species": ["Sb", "Ru", "Ru", "Ru", "Br"],
  "frac_coords": [[0.000, 0.000, 0.000], [0.000, 0.500, 0.500], [0.500, 0.000, 0.500], [0.500, 0.500, 0.000], [0.500, 0.500, 0.500]]
}

***

[10]
{
  "formula": "CoAgP3",
  "functional": "GGA-PBEsol",
  "state": "optimized geometry",
  "e_form_ev_per_fu": 2.8,
  "n_ef_per_ev_atom": 0.805,
  "spacegroup": "Pm-3m, No. 221",
  "lattice": [[4.329, 0.000, 0.000], [0.000, 4.329, 0.000], [0.000, 0.000, 4.329]],
  "species": ["Co", "Ag", "P", "P", "P"],
  "frac_coords": [[0.000, 0.000, 0.000], [0.500, 0.500, 0.500], [0.000, 0.000, 0.500], [0.000, 0.500, 0.000], [0.500, 0.000, 0.000]]
}

***

[11]
{
  "formula": "MgCdCu2",
  "functional": "GGA-PBEsol",
  "state": "optimized geometry",
  "e_form_ev_per_fu": -0.1,
  "n_ef_per_ev_atom": 0.337,
  "spacegroup": "Cm, No. 8",
  "lattice": [[4.890, -1.543, 0.000], [4.890, 1.543, 0.000], [-1.812, 0.000, 4.004]],
  "species": ["Mg", "Cd", "Cu", "Cu"],
  "frac_coords": [[0.000, 0.000, 0.000], [0.221, 0.221, 0.704], [0.471, 0.471, 0.474], [0.759, 0.759, 0.239]]
}

***

[12]
{
  "formula": "YOsN2F",
  "functional": "GGA-PBEsol",
  "state": "optimized geometry",
  "n_ef_per_ev_atom": 1.100,
  "spacegroup": "P4/mmm, No. 123",
  "formation_energy_uncorrected_mev_per_atom": 892,
  "lattice": [[4.392, 0.000, 0.000], [0.000, 4.392, 0.000], [0.000, 0.000, 4.010]],
  "species": ["Y", "Os", "N", "N", "F"],
  "frac_coords": [[0.000, 0.000, 0.000], [0.500, 0.500, 0.500], [0.000, 0.500, 0.000], [0.500, 0.000, 0.000], [0.000, 0.000, 0.500]]
}

***

[13]
{
  "formula": "TeW4",
  "functional": "GGA-PBEsol",
  "state": "optimized geometry",
  "n_ef_per_ev_atom": 1.113,
  "spacegroup": "Im-3m, No. 229",
  "formation_energy_uncorrected_mev_per_atom": 2209,
  "polymorph_energy_mev_per_atom": 1267,
  "lattice": [[-2.944, 2.944, 2.944], [2.944, -2.944, 2.944], [2.944, 2.944, -2.944]],
  "species": ["Te", "W", "W", "W", "W"],
  "frac_coords": [[0.000, 0.000, 0.000], [0.000, 0.000, 0.500], [0.000, 0.500, 0.000], [0.500, 0.000, 0.000], [0.500, 0.500, 0.500]]
}

***

[14]
{
  "formula": "CsTmO2",
  "functional": "GGA-PBEsol",
  "state": "optimized geometry",
  "n_ef_per_ev_atom": 0.000,
  "spacegroup": "P6_3/mmc, No. 194",
  "formation_energy_uncorrected_mev_per_atom": -2748,
  "lattice": [[3.451, 0.000, 0.000], [-1.725, 2.988, 0.000], [0.000, 0.000, 13.441]],
  "species": ["Cs", "Cs", "Tm", "Tm", "O", "O", "O", "O"],
  "frac_coords": [[0.333, 0.667, 0.250], [0.667, 0.333, 0.750], [0.000, 0.000, 0.000], [0.000, 0.000, 0.500], [0.333, 0.667, 0.582], [0.333, 0.667, 0.918], [0.667, 0.333, 0.082], [0.667, 0.333, 0.418]]
}

***

[15]
{
  "formula": "MgSc3Mo",
  "functional": "GGA-PBEsol",
  "state": "optimized geometry",
  "e_form_ev_per_fu": 2.2,
  "n_ef_per_ev_atom": 1.059,
  "spacegroup": "Pm-3m, No. 221",
  "lattice": [[5.009, 0.000, 0.000], [0.000, 5.009, 0.000], [0.000, 0.000, 5.009]],
  "species": ["Mg", "Sc", "Sc", "Sc", "Mo"],
  "frac_coords": [[0.000, 0.000, 0.000], [0.000, 0.500, 0.500], [0.500, 0.000, 0.500], [0.500, 0.500, 0.000], [0.500, 0.500, 0.500]]
}

***

[16]
{
  "formula": "TcHg3Te",
  "functional": "GGA-PBEsol",
  "state": "optimized geometry",
  "n_ef_per_ev_atom": 0.698,
  "spacegroup": "Pm-3m, No. 221",
  "formation_energy_uncorrected_mev_per_atom": 873,
  "lattice": [[5.212, 0.000, 0.000], [0.000, 5.212, 0.000], [0.000, 0.000, 5.212]],
  "species": ["Tc", "Hg", "Hg", "Hg", "Te"],
  "frac_coords": [[0.000, 0.000, 0.000], [0.000, 0.000, 0.500], [0.000, 0.500, 0.000], [0.500, 0.000, 0.000], [0.500, 0.500, 0.500]]
}

***

[17]
{
  "formula": "Na3SrFe",
  "functional": "GGA-PBEsol",
  "state": "optimized geometry",
  "e_form_ev_per_fu": 3.8,
  "n_ef_per_ev_atom": 2.017,
  "spacegroup": "Pm-3m, No. 221",
  "lattice": [[5.538, 0.000, 0.000], [0.000, 5.538, 0.000], [0.000, 0.000, 5.538]],
  "species": ["Na", "Na", "Na", "Sr", "Fe"],
  "frac_coords": [[0.000, 0.000, 0.500], [0.000, 0.500, 0.000], [0.500, 0.000, 0.000], [0.500, 0.500, 0.500], [0.000, 0.000, 0.000]]
}

***

[18]
{
  "formula": "KRePdF2",
  "functional": "GGA-PBEsol",
  "state": "optimized geometry",
  "n_ef_per_ev_atom": 0.525,
  "spacegroup": "P4/mmm, No. 123",
  "formation_energy_uncorrected_mev_per_atom": 800,
  "lattice": [[4.251, 0.000, 0.000], [0.000, 4.251, 0.000], [0.000, 0.000, 6.330]],
  "species": ["K", "Re", "Pd", "F", "F"],
  "frac_coords": [[0.000, 0.000, 0.000], [0.000, 0.000, 0.500], [0.500, 0.500, 0.500], [0.000, 0.500, 0.000], [0.500, 0.000, 0.000]]
}

***

[19]
{
  "formula": "KBiSI2",
  "functional": "GGA-PBEsol",
  "state": "optimized geometry",
  "n_ef_per_ev_atom": 1.587,
  "spacegroup": "P4/mmm, No. 123",
  "formation_energy_uncorrected_mev_per_atom": 156,
  "lattice": [[5.913, 0.000, 0.000], [0.000, 5.913, 0.000], [0.000, 0.000, 7.519]],
  "species": ["K", "Bi", "S", "I", "I"],
  "frac_coords": [[0.000, 0.000, 0.000], [0.000, 0.000, 0.500], [0.500, 0.500, 0.000], [0.000, 0.500, 0.500], [0.500, 0.000, 0.500]]
}

***

[20]
{
  "formula": "Ca2TaHg2",
  "functional": "GGA-PBEsol",
  "state": "optimized geometry",
  "e_form_ev_per_fu": 2.8,
  "n_ef_per_ev_atom": 0.863,
  "spacegroup": "I4/mmm, No. 139",
  "lattice": [[-2.018, 2.018, 8.388], [2.018, -2.018, 8.388], [2.018, 2.018, -8.388]],
  "species": ["Ca", "Ca", "Ta", "Hg", "Hg"],
  "frac_coords": [[0.101, 0.101, 0.000], [0.899, 0.899, 0.000], [0.500, 0.500, 0.000], [0.250, 0.750, 0.500], [0.750, 0.250, 0.500]]
}